Record 1
# LiDy5Rh6 PBE relaxed
data_LiDy5Rh6
_chemical_formula_sum 'Li1 Dy5 Rh6'
_space_group_name_H-M_alt 'P 1'
_space_group_IT_number 1
_space_group_name_Hall 'P 1'
_cell_length_a 4.7174
_cell_length_b 8.2176
_cell_length_c 8.2176
_cell_angle_alpha 119.23
_cell_angle_beta 106.68
_cell_angle_gamma 106.68
loop_
_atom_site_label
_atom_site_fract_x
_atom_site_fract_y
_atom_site_fract_z
Dy1 0.5000 0.1506 0.8494
Dy2 0.0000 0.3273 0.6726
Dy3 0.5000 0.5000 0.5000
Dy4 0.0000 0.6726 0.3273
Dy5 0.5000 0.8494 0.1506
Rh1 0.2527 0.0862 0.4193
Rh2 0.7473 0.5807 0.9138
Rh3 0.7632 0.2632 0.2632
Rh4 0.2368 0.7368 0.7368
Rh5 0.2527 0.4193 0.0862
Rh6 0.7473 0.9138 0.5807
Li1 0.0000 0.0000 0.0000
# Calculated formation energy: -0.774 eV per atom
# Fermi-level density of states: 0.3134 states/eV per atom
# Space group: Immm
# VASP energy: -78.33 eV for the cell shown

---

Record 2
# CaC3F PBE relaxed
data_CaC3F
_chemical_formula_sum 'Ca1 C3 F1'
_space_group_name_H-M_alt 'P 1'
_space_group_IT_number 1
_space_group_name_Hall 'P 1'
_cell_length_a 4.9454
_cell_length_b 4.9454
_cell_length_c 4.9454
_cell_angle_alpha 90.00
_cell_angle_beta 90.00
_cell_angle_gamma 90.00
loop_
_atom_site_label
_atom_site_fract_x
_atom_site_fract_y
_atom_site_fract_z
Ca1 0.0000 0.0000 0.0000
C1 0.0000 0.5000 0.0000
C2 0.0000 0.0000 0.5000
C3 0.5000 0.0000 0.0000
F1 0.5000 0.5000 0.5000
# Fermi-level density of states: 1.8614 states/eV per atom
# Formation energy (no corrections): 16.72 eV/f.u.
# Space group: Pm-3m
# VASP energy: -14.82 eV for the cell shown

---

Record 3
# Sm2HoCo6 PBE relaxed
data_Sm2HoCo6
_chemical_formula_sum 'Sm2 Ho1 Co6'
_space_group_name_H-M_alt 'P 1'
_space_group_IT_number 1
_space_group_name_Hall 'P 1'
_cell_length_a 4.1074
_cell_length_b 6.6942
_cell_length_c 6.6942
_cell_angle_alpha 120.00
_cell_angle_beta 90.00
_cell_angle_gamma 90.00
loop_
_atom_site_label
_atom_site_fract_x
_atom_site_fract_y
_atom_site_fract_z
Sm1 0.0000 0.3333 0.6667
Sm2 0.0000 0.6667 0.3333
Ho1 0.0000 0.0000 0.0000
Co1 0.5000 0.3319 0.3319
Co2 0.5000 0.6681 0.6681
Co3 0.5000 0.0000 0.6681
Co4 0.5000 0.6681 0.0000
Co5 0.5000 0.3319 0.0000
Co6 0.5000 0.0000 0.3319
# Calculated formation energy: -0.139 eV per atom
# Fermi-level density of states: 0.7731 states/eV per atom
# Space group: P6/mmm
# VASP energy: -57.90 eV for the cell shown

---

Record 4
# SiIrPt PBE relaxed
data_SiIrPt
_chemical_formula_sum 'Si1 Ir1 Pt1'
_space_group_name_H-M_alt 'P 1'
_space_group_IT_number 1
_space_group_name_Hall 'P 1'
_cell_length_a 2.8862
_cell_length_b 2.8862
_cell_length_c 6.0420
_cell_angle_alpha 90.00
_cell_angle_beta 90.00
_cell_angle_gamma 120.00
loop_
_atom_site_label
_atom_site_fract_x
_atom_site_fract_y
_atom_site_fract_z
Ir1 0.0000 0.0000 0.9629
Pt1 0.6667 0.3333 0.3668
Si1 0.3333 0.6667 0.6703
# Fermi-level density of states: 0.5985 states/eV per atom
# Formation energy (no corrections): -1.11 eV/f.u.
# Space group: P3m1
# VASP energy: -21.43 eV for the cell shown

---

Record 5
# Dy5Er2Tm3 PBE relaxed
data_Dy5Er2Tm3
_chemical_formula_sum 'Dy10 Er4 Tm6'
_space_group_name_H-M_alt 'P 1'
_space_group_IT_number 1
_space_group_name_Hall 'P 1'
_cell_length_a 9.3870
_cell_length_b 9.4083
_cell_length_c 10.9977
_cell_angle_alpha 125.91
_cell_angle_beta 125.86
_cell_angle_gamma 68.16
loop_
_atom_site_label
_atom_site_fract_x
_atom_site_fract_y
_atom_site_fract_z
Dy1 0.2786 0.5286 0.0573
Dy2 0.7214 0.4714 0.9427
Dy3 0.0201 0.7701 0.5402
Dy4 0.5251 0.2751 0.5503
Dy5 0.9799 0.2299 0.4598
Dy6 0.4749 0.7249 0.4497
Dy7 0.8613 0.6112 0.7589
Dy8 0.1387 0.3888 0.2411
Dy9 0.3976 0.1477 0.7589
Dy10 0.6024 0.8523 0.2411
Er1 0.7819 0.0143 0.7498
Er2 0.2181 0.9857 0.2502
Er3 0.4679 0.7355 0.7498
Er4 0.5321 0.2645 0.2502
Tm1 0.2260 0.9760 0.9520
Tm2 0.7740 0.0240 0.0480
Tm3 0.7315 0.4628 0.2408
Tm4 0.2685 0.5372 0.7592
Tm5 0.0093 0.7780 0.2408
Tm6 0.9907 0.2220 0.7592
# Calculated formation energy: 0.205 eV per atom
# Fermi-level density of states: 1.8909 states/eV per atom
# Space group: C2/c
# VASP energy: -87.01 eV for the cell shown

---

Record 6
# NaAcSiGe PBE relaxed
data_NaAcSiGe
_chemical_formula_sum 'Na1 Ac1 Si1 Ge1'
_space_group_name_H-M_alt 'P 1'
_space_group_IT_number 1
_space_group_name_Hall 'P 1'
_cell_length_a 5.2720
_cell_length_b 5.2720
_cell_length_c 5.2720
_cell_angle_alpha 60.00
_cell_angle_beta 60.00
_cell_angle_gamma 60.00
loop_
_atom_site_label
_atom_site_fract_x
_atom_site_fract_y
_atom_site_fract_z
Na1 0.5000 0.5000 0.5000
Ac1 0.0000 0.0000 0.0000
Si1 0.7500 0.7500 0.7500
Ge1 0.2500 0.2500 0.2500
# Fermi-level density of states: 0.8136 states/eV per atom
# Formation energy (no corrections): -0.52 eV/f.u.
# Space group: F-43m
# VASP energy: -15.99 eV for the cell shown

---

Record 7
# Y3BiIr PBE relaxed
data_Y3BiIr
_chemical_formula_sum 'Y3 Bi1 Ir1'
_space_group_name_H-M_alt 'P 1'
_space_group_IT_number 1
_space_group_name_Hall 'P 1'
_cell_length_a 5.3929
_cell_length_b 5.3929
_cell_length_c 5.3929
_cell_angle_alpha 90.00
_cell_angle_beta 90.00
_cell_angle_gamma 90.00
loop_
_atom_site_label
_atom_site_fract_x
_atom_site_fract_y
_atom_site_fract_z
Y1 0.0000 0.5000 0.0000
Y2 0.0000 0.0000 0.5000
Y3 0.5000 0.0000 0.0000
Ir1 0.0000 0.0000 0.0000
Bi1 0.5000 0.5000 0.5000
# Calculated formation energy: -0.528 eV per atom
# Fermi-level density of states: 1.1446 states/eV per atom
# Space group: Pm-3m
# VASP energy: -34.78 eV for the cell shown

---

Record 8
# Pr8Ir3Pt2 PBE relaxed
data_Pr8Ir3Pt2
_chemical_formula_sum 'Pr8 Ir3 Pt2'
_space_group_name_H-M_alt 'P 1'
_space_group_IT_number 1
_space_group_name_Hall 'P 1'
_cell_length_a 5.0002
_cell_length_b 10.1666
_cell_length_c 8.7783
_cell_angle_alpha 125.11
_cell_angle_beta 90.00
_cell_angle_gamma 90.00
loop_
_atom_site_label
_atom_site_fract_x
_atom_site_fract_y
_atom_site_fract_z
Pr1 0.0000 0.6207 0.2421
Pr2 0.0000 0.3793 0.7579
Pr3 0.0000 0.1214 0.2433
Pr4 0.0000 0.8786 0.7567
Pr5 0.5000 0.6322 0.7569
Pr6 0.5000 0.1251 0.7568
Pr7 0.5000 0.8749 0.2432
Pr8 0.5000 0.3678 0.2431
Ir1 0.5000 0.0000 0.0000
Ir2 0.0000 0.2552 0.9999
Ir3 0.0000 0.7448 0.0001
Pt1 0.5000 0.2558 0.5107
Pt2 0.5000 0.7442 0.4893
# Calculated formation energy: -0.621 eV per atom
# Fermi-level density of states: 1.1286 states/eV per atom
# Space group: P2/m
# VASP energy: -84.97 eV for the cell shown

---

Record 9
# K2TmTe3O12 PBE relaxed
data_K2TmTe3O12
_chemical_formula_sum 'K2 Tm1 Te3 O12'
_space_group_name_H-M_alt 'P 1'
_space_group_IT_number 1
_space_group_name_Hall 'P 1'
_cell_length_a 7.4952
_cell_length_b 7.4952
_cell_length_c 7.4952
_cell_angle_alpha 59.08
_cell_angle_beta 59.08
_cell_angle_gamma 59.08
loop_
_atom_site_label
_atom_site_fract_x
_atom_site_fract_y
_atom_site_fract_z
K1 0.6273 0.6273 0.6273
K2 0.3727 0.3727 0.3727
Tm1 0.0000 0.0000 0.0000
Te1 0.5000 0.0000 0.0000
Te2 0.0000 0.5000 0.0000
Te3 0.0000 0.0000 0.5000
O1 0.3169 0.3169 0.9180
O2 0.9228 0.9228 0.3524
O3 0.3524 0.9228 0.9228
O4 0.9180 0.3169 0.3169
O5 0.9228 0.3524 0.9228
O6 0.3169 0.9180 0.3169
O7 0.6831 0.6831 0.0820
O8 0.0772 0.0772 0.6476
O9 0.6476 0.0772 0.0772
O10 0.0820 0.6831 0.6831
O11 0.0772 0.6476 0.0772
O12 0.6831 0.0820 0.6831
# Fermi-level density of states: 0.5863 states/eV per atom
# Formation energy (no corrections): -26.38 eV/f.u.
# Space group: R-3m
# VASP energy: -101.97 eV for the cell shown

---

Record 10
# InBiPbI PBE relaxed
data_InBiPbI
_chemical_formula_sum 'In1 Bi1 Pb1 I1'
_space_group_name_H-M_alt 'P 1'
_space_group_IT_number 1
_space_group_name_Hall 'P 1'
_cell_length_a 5.7047
_cell_length_b 5.7047
_cell_length_c 5.7047
_cell_angle_alpha 60.00
_cell_angle_beta 60.00
_cell_angle_gamma 60.00
loop_
_atom_site_label
_atom_site_fract_x
_atom_site_fract_y
_atom_site_fract_z
Pb1 0.0000 0.0000 0.0000
I1 0.7500 0.7500 0.7500
Bi1 0.2500 0.2500 0.2500
In1 0.5000 0.5000 0.5000
# Fermi-level density of states: 0.9934 states/eV per atom
# Formation energy (no corrections): -0.03 eV/f.u.
# Space group: F-43m
# VASP energy: -11.91 eV for the cell shown

---

Record 11
# TbPrHoAl PBE relaxed
data_TbPrHoAl
_chemical_formula_sum 'Tb1 Pr1 Ho1 Al1'
_space_group_name_H-M_alt 'P 1'
_space_group_IT_number 1
_space_group_name_Hall 'P 1'
_cell_length_a 3.5481
_cell_length_b 3.5481
_cell_length_c 9.1358
_cell_angle_alpha 90.00
_cell_angle_beta 90.00
_cell_angle_gamma 90.00
loop_
_atom_site_label
_atom_site_fract_x
_atom_site_fract_y
_atom_site_fract_z
Tb1 0.5000 0.5000 0.7789
Pr1 0.0000 0.0000 0.0735
Ho1 0.5000 0.5000 0.3633
Al1 0.0000 0.0000 0.5690
# Calculated formation energy: -0.192 eV per atom
# Fermi-level density of states: 0.8370 states/eV per atom
# Space group: P4mm
# VASP energy: -18.50 eV for the cell shown

---

Record 12
# MgZrRu3 PBE relaxed
data_MgZrRu3
_chemical_formula_sum 'Mg1 Zr1 Ru3'
_space_group_name_H-M_alt 'P 1'
_space_group_IT_number 1
_space_group_name_Hall 'P 1'
_cell_length_a 4.8164
_cell_length_b 4.8164
_cell_length_c 4.8164
_cell_angle_alpha 90.00
_cell_angle_beta 90.00
_cell_angle_gamma 90.00
loop_
_atom_site_label
_atom_site_fract_x
_atom_site_fract_y
_atom_site_fract_z
Ru1 0.0000 0.5000 0.0000
Ru2 0.0000 0.0000 0.5000
Ru3 0.5000 0.0000 0.0000
Mg1 0.5000 0.5000 0.5000
Zr1 0.0000 0.0000 0.0000
# Calculated formation energy: 1.310 eV per atom
# Fermi-level density of states: 1.1160 states/eV per atom
# Space group: Pm-3m
# VASP energy: -31.42 eV for the cell shown